## Ti2BiSb2 (SCAN)

Data for a crystal of Ti2BiSb2 relaxed with PBEsol.

Values from the calculation:
* final energy: -185.4 eV for the cell shown
* symmetry: I4/mmm (139)

CIF file:
```
data_Ti2BiSb2
_chemical_formula_sum 'Ti2 Bi1 Sb2'
_cell_length_a 5.001
_cell_length_b 5.001
_cell_length_c 5.977
_cell_angle_alpha 114.73
_cell_angle_beta 114.73
_cell_angle_gamma 90.00
_symmetry_space_group_name_H-M 'P 1'
_symmetry_Int_Tables_number 1
loop_
_symmetry_equiv_pos_as_xyz
'x,y,z'
loop_
_atom_site_label
_atom_site_type_symbol
_atom_site_fract_x
_atom_site_fract_y
_atom_site_fract_z
Sb1 Sb 0.645 0.645 0.290
Sb2 Sb 0.355 0.355 0.710
Bi1 Bi 0.000 0.000 0.000
Ti1 Ti 0.250 0.750 0.500
Ti2 Ti 0.750 0.250 0.500
```



## YBiSb2 (SCAN)

Data for a crystal of YBiSb2 relaxed with PBEsol.

Values from the calculation:
* final energy: -363.5 eV for the cell shown
* symmetry: I-42d (122)

CIF file:
```
data_YBiSb2
_chemical_formula_sum 'Y2 Bi2 Sb4'
_cell_length_a 6.807
_cell_length_b 6.807
_cell_length_c 8.598
_cell_angle_alpha 113.32
_cell_angle_beta 113.32
_cell_angle_gamma 90.00
_symmetry_space_group_name_H-M 'P 1'
_symmetry_Int_Tables_number 1
loop_
_symmetry_equiv_pos_as_xyz
'x,y,z'
loop_
_atom_site_label
_atom_site_type_symbol
_atom_site_fract_x
_atom_site_fract_y
_atom_site_fract_z
Sb1 Sb 0.381 0.875 0.250
Sb2 Sb 0.625 0.619 0.750
Sb3 Sb 0.869 0.375 0.250
Sb4 Sb 0.125 0.131 0.750
Y1 Y 0.750 0.250 0.500
Y2 Y 0.500 0.500 0.000
Bi1 Bi 0.250 0.750 0.500
Bi2 Bi 0.000 0.000 0.000
```



## YBi2Sb2 (SCAN)

Data for a crystal of YBi2Sb2 relaxed with PBEsol.

Values from the calculation:
* final energy: -521.1 eV for the cell shown
* symmetry: P4/mbm (127)

CIF file:
```
data_YBi2Sb2
_chemical_formula_sum 'Y2 Bi4 Sb4'
_cell_length_a 4.267
_cell_length_b 8.331
_cell_length_c 8.331
_cell_angle_alpha 90.00
_cell_angle_beta 90.00
_cell_angle_gamma 90.00
_symmetry_space_group_name_H-M 'P 1'
_symmetry_Int_Tables_number 1
loop_
_symmetry_equiv_pos_as_xyz
'x,y,z'
loop_
_atom_site_label
_atom_site_type_symbol
_atom_site_fract_x
_atom_site_fract_y
_atom_site_fract_z
Bi1 Bi 0.000 0.360 0.860
Bi2 Bi 0.000 0.140 0.360
Bi3 Bi 0.000 0.860 0.640
Bi4 Bi 0.000 0.640 0.140
Sb1 Sb 0.500 0.817 0.317
Sb2 Sb 0.500 0.183 0.683
Sb3 Sb 0.500 0.683 0.817
Sb4 Sb 0.500 0.317 0.183
Y1 Y 0.000 0.000 0.000
Y2 Y 0.000 0.500 0.500
```



## Zn3BiSb (SCAN)

Data for a crystal of Zn3BiSb relaxed with PBEsol.

Values from the calculation:
* offset from the most stable computed form: 0 meV/atom
* symmetry: Pm-3m (221)

CIF file:
```
data_Zn3BiSb
_chemical_formula_sum 'Zn3 Bi1 Sb1'
_cell_length_a 5.085
_cell_length_b 5.085
_cell_length_c 5.085
_cell_angle_alpha 90.00
_cell_angle_beta 90.00
_cell_angle_gamma 90.00
_symmetry_space_group_name_H-M 'P 1'
_symmetry_Int_Tables_number 1
loop_
_symmetry_equiv_pos_as_xyz
'x,y,z'
loop_
_atom_site_label
_atom_site_type_symbol
_atom_site_fract_x
_atom_site_fract_y
_atom_site_fract_z
Bi1 Bi 0.500 0.500 0.500
Zn1 Zn 0.500 0.000 0.000
Zn2 Zn 0.000 0.500 0.000
Zn3 Zn 0.000 0.000 0.500
Sb1 Sb 0.000 0.000 0.000
```



## ZnBi2Sb (SCAN)

Data for a crystal of ZnBi2Sb relaxed with PBEsol.

Values from the calculation:
* final energy: -206.7 eV for the cell shown
* symmetry: Fm-3m (225)

CIF file:
```
data_ZnBi2Sb
_chemical_formula_sum 'Zn1 Bi2 Sb1'
_cell_length_a 5.288
_cell_length_b 5.288
_cell_length_c 5.288
_cell_angle_alpha 60.00
_cell_angle_beta 60.00
_cell_angle_gamma 60.00
_symmetry_space_group_name_H-M 'P 1'
_symmetry_Int_Tables_number 1
loop_
_symmetry_equiv_pos_as_xyz
'x,y,z'
loop_
_atom_site_label
_atom_site_type_symbol
_atom_site_fract_x
_atom_site_fract_y
_atom_site_fract_z
Zn1 Zn 0.000 0.000 0.000
Bi1 Bi 0.250 0.250 0.250
Bi2 Bi 0.750 0.750 0.750
Sb1 Sb 0.500 0.500 0.500
```



## Zr2BiSb2 (SCAN)

Data for a crystal of Zr2BiSb2 relaxed with PBEsol.

Values from the calculation:
* final energy: -434.5 eV for the cell shown
* symmetry: P4/mbm (127)

CIF file:
```
data_Zr2BiSb2
_chemical_formula_sum 'Zr4 Bi2 Sb4'
_cell_length_a 3.742
_cell_length_b 7.983
_cell_length_c 7.983
_cell_angle_alpha 90.00
_cell_angle_beta 90.00
_cell_angle_gamma 90.00
_symmetry_space_group_name_H-M 'P 1'
_symmetry_Int_Tables_number 1
loop_
_symmetry_equiv_pos_as_xyz
'x,y,z'
loop_
_atom_site_label
_atom_site_type_symbol
_atom_site_fract_x
_atom_site_fract_y
_atom_site_fract_z
Sb1 Sb 0.500 0.358 0.142
Sb2 Sb 0.500 0.858 0.358
Sb3 Sb 0.500 0.142 0.642
Sb4 Sb 0.500 0.642 0.858
Zr1 Zr 0.000 0.349 0.849
Zr2 Zr 0.000 0.651 0.151
Zr3 Zr 0.000 0.151 0.349
Zr4 Zr 0.000 0.849 0.651
Bi1 Bi 0.000 0.500 0.500
Bi2 Bi 0.000 0.000 0.000
```



## Sc3Bi (SCAN)

Data for a crystal of Sc3Bi relaxed with PBEsol.

Values from the calculation:
* energy of formation from the pure elements: -0.380 eV/atom
* symmetry: P6_3/mmc (194)

CIF file:
```
data_Sc3Bi
_chemical_formula_sum 'Sc6 Bi2'
_cell_length_a 5.085
_cell_length_b 6.425
_cell_length_c 6.425
_cell_angle_alpha 120.00
_cell_angle_beta 90.00
_cell_angle_gamma 90.00
_symmetry_space_group_name_H-M 'P 1'
_symmetry_Int_Tables_number 1
loop_
_symmetry_equiv_pos_as_xyz
'x,y,z'
loop_
_atom_site_label
_atom_site_type_symbol
_atom_site_fract_x
_atom_site_fract_y
_atom_site_fract_z
Bi1 Bi 0.250 0.667 0.333
Bi2 Bi 0.750 0.333 0.667
Sc1 Sc 0.750 0.835 0.670
Sc2 Sc 0.750 0.835 0.165
Sc3 Sc 0.750 0.330 0.165
Sc4 Sc 0.250 0.670 0.835
Sc5 Sc 0.250 0.165 0.330
Sc6 Sc 0.250 0.165 0.835
```



## Sr2ScBi (SCAN)

Data for a crystal of Sr2ScBi relaxed with PBEsol.

Values from the calculation:
* energy of formation from the pure elements: 0.033 eV/atom
* symmetry: I-42d (122)

CIF file:
```
data_Sr2ScBi
_chemical_formula_sum 'Sr4 Sc2 Bi2'
_cell_length_a 6.596
_cell_length_b 7.376
_cell_length_c 7.376
_cell_angle_alpha 78.47
_cell_angle_beta 63.44
_cell_angle_gamma 63.44
_symmetry_space_group_name_H-M 'P 1'
_symmetry_Int_Tables_number 1
loop_
_symmetry_equiv_pos_as_xyz
'x,y,z'
loop_
_atom_site_label
_atom_site_type_symbol
_atom_site_fract_x
_atom_site_fract_y
_atom_site_fract_z
Bi1 Bi 0.000 0.000 0.000
Bi2 Bi 0.750 0.500 0.500
Sc1 Sc 0.250 0.500 0.500
Sc2 Sc 0.500 0.000 0.000
Sr1 Sr 0.375 0.529 0.971
Sr2 Sr 0.096 0.029 0.529
Sr3 Sr 0.875 0.471 0.029
Sr4 Sr 0.654 0.971 0.471
```



## Sr2Sc2Bi (SCAN)

Data for a crystal of Sr2Sc2Bi relaxed with PBEsol.

Values from the calculation:
* energy of formation from the pure elements: 0.239 eV/atom
* symmetry: P4/mmm (123)

CIF file:
```
data_Sr2Sc2Bi
_chemical_formula_sum 'Sr2 Sc2 Bi1'
_cell_length_a 5.489
_cell_length_b 6.219
_cell_length_c 6.219
_cell_angle_alpha 90.00
_cell_angle_beta 90.00
_cell_angle_gamma 90.00
_symmetry_space_group_name_H-M 'P 1'
_symmetry_Int_Tables_number 1
loop_
_symmetry_equiv_pos_as_xyz
'x,y,z'
loop_
_atom_site_label
_atom_site_type_symbol
_atom_site_fract_x
_atom_site_fract_y
_atom_site_fract_z
Sc1 Sc 0.500 0.000 0.000
Sc2 Sc 0.500 0.500 0.500
Sr1 Sr 0.000 0.500 0.000
Sr2 Sr 0.000 0.000 0.500
Bi1 Bi 0.000 0.000 0.000
```



## ScTa3Bi (SCAN)

Data for a crystal of ScTa3Bi relaxed with PBEsol.

Values from the calculation:
* energy of formation from the pure elements: 1.968 eV/atom
* symmetry: Pm-3m (221)

CIF file:
```
data_ScTa3Bi
_chemical_formula_sum 'Sc1 Ta3 Bi1'
_cell_length_a 5.081
_cell_length_b 5.081
_cell_length_c 5.081
_cell_angle_alpha 90.00
_cell_angle_beta 90.00
_cell_angle_gamma 90.00
_symmetry_space_group_name_H-M 'P 1'
_symmetry_Int_Tables_number 1
loop_
_symmetry_equiv_pos_as_xyz
'x,y,z'
loop_
_atom_site_label
_atom_site_type_symbol
_atom_site_fract_x
_atom_site_fract_y
_atom_site_fract_z
Ta1 Ta 0.500 0.000 0.000
Ta2 Ta 0.000 0.500 0.000
Ta3 Ta 0.000 0.000 0.500
Bi1 Bi 0.000 0.000 0.000
Sc1 Sc 0.500 0.500 0.500
```



## Sc3TcBi (SCAN)

Data for a crystal of Sc3TcBi relaxed with PBEsol.

Values from the calculation:
* energy of formation from the pure elements: 0.999 eV/atom
* symmetry: Pm-3m (221)

CIF file:
```
data_Sc3TcBi
_chemical_formula_sum 'Sc3 Tc1 Bi1'
_cell_length_a 5.278
_cell_length_b 5.278
_cell_length_c 5.278
_cell_angle_alpha 90.00
_cell_angle_beta 90.00
_cell_angle_gamma 90.00
_symmetry_space_group_name_H-M 'P 1'
_symmetry_Int_Tables_number 1
loop_
_symmetry_equiv_pos_as_xyz
'x,y,z'
loop_
_atom_site_label
_atom_site_type_symbol
_atom_site_fract_x
_atom_site_fract_y
_atom_site_fract_z
Sc1 Sc 0.000 0.000 0.500
Sc2 Sc 0.500 0.000 0.000
Sc3 Sc 0.000 0.500 0.000
Tc1 Tc 0.500 0.500 0.500
Bi1 Bi 0.000 0.000 0.000
```



## ZrScTc2Bi (SCAN)

Data for a crystal of ZrScTc2Bi relaxed with PBEsol.

Values from the calculation:
* energy of formation from the pure elements: 1.292 eV/atom
* symmetry: P4/mmm (123)

CIF file:
```
data_ZrScTc2Bi
_chemical_formula_sum 'Zr1 Sc1 Tc2 Bi1'
_cell_length_a 4.550
_cell_length_b 4.550
_cell_length_c 5.093
_cell_angle_alpha 90.00
_cell_angle_beta 90.00
_cell_angle_gamma 90.00
_symmetry_space_group_name_H-M 'P 1'
_symmetry_Int_Tables_number 1
loop_
_symmetry_equiv_pos_as_xyz
'x,y,z'
loop_
_atom_site_label
_atom_site_type_symbol
_atom_site_fract_x
_atom_site_fract_y
_atom_site_fract_z
Sc1 Sc 0.000 0.000 0.000
Zr1 Zr 0.000 0.000 0.500
Tc1 Tc 0.500 0.000 0.000
Tc2 Tc 0.000 0.500 0.000
Bi1 Bi 0.500 0.500 0.500
```



## Sc3TlBi (SCAN)

Data for a crystal of Sc3TlBi relaxed with PBEsol.

Values from the calculation:
* energy of formation from the pure elements: 0.180 eV/atom
* symmetry: Pm-3m (221)

CIF file:
```
data_Sc3TlBi
_chemical_formula_sum 'Sc3 Tl1 Bi1'
_cell_length_a 5.347
_cell_length_b 5.347
_cell_length_c 5.347
_cell_angle_alpha 90.00
_cell_angle_beta 90.00
_cell_angle_gamma 90.00
_symmetry_space_group_name_H-M 'P 1'
_symmetry_Int_Tables_number 1
loop_
_symmetry_equiv_pos_as_xyz
'x,y,z'
loop_
_atom_site_label
_atom_site_type_symbol
_atom_site_fract_x
_atom_site_fract_y
_atom_site_fract_z
Sc1 Sc 0.000 0.000 0.500
Sc2 Sc 0.000 0.500 0.000
Sc3 Sc 0.500 0.000 0.000
Bi1 Bi 0.000 0.000 0.000
Tl1 Tl 0.500 0.500 0.500
```



## YSc2Bi2 (SCAN)

Data for a crystal of YSc2Bi2 relaxed with PBEsol.

Values from the calculation:
* energy of formation from the pure elements: -0.546 eV/atom
* symmetry: I4/mmm (139)

CIF file:
```
data_YSc2Bi2
_chemical_formula_sum 'Y1 Sc2 Bi2'
_cell_length_a 4.294
_cell_length_b 4.294
_cell_length_c 7.846
_cell_angle_alpha 105.88
_cell_angle_beta 105.88
_cell_angle_gamma 90.00
_symmetry_space_group_name_H-M 'P 1'
_symmetry_Int_Tables_number 1
loop_
_symmetry_equiv_pos_as_xyz
'x,y,z'
loop_
_atom_site_label
_atom_site_type_symbol
_atom_site_fract_x
_atom_site_fract_y
_atom_site_fract_z
Bi1 Bi 0.609 0.609 0.217
Bi2 Bi 0.391 0.391 0.783
Y1 Y 0.000 0.000 0.000
Sc1 Sc 0.750 0.250 0.500
Sc2 Sc 0.250 0.750 0.500
```



## YScBi2 (SCAN)

Data for a crystal of YScBi2 relaxed with PBEsol.

Values from the calculation:
* energy of formation from the pure elements: -0.615 eV/atom
* symmetry: Fm-3m (225)

CIF file:
```
data_YScBi2
_chemical_formula_sum 'Y1 Sc1 Bi2'
_cell_length_a 5.310
_cell_length_b 5.310
_cell_length_c 5.310
_cell_angle_alpha 60.00
_cell_angle_beta 60.00
_cell_angle_gamma 60.00
_symmetry_space_group_name_H-M 'P 1'
_symmetry_Int_Tables_number 1
loop_
_symmetry_equiv_pos_as_xyz
'x,y,z'
loop_
_atom_site_label
_atom_site_type_symbol
_atom_site_fract_x
_atom_site_fract_y
_atom_site_fract_z
Sc1 Sc 0.000 0.000 0.000
Bi1 Bi 0.750 0.750 0.750
Bi2 Bi 0.250 0.250 0.250
Y1 Y 0.500 0.500 0.500
```



## ScZn3Bi (SCAN)

Data for a crystal of ScZn3Bi relaxed with PBEsol.

Values from the calculation:
* energy of formation from the pure elements: 0.861 eV/atom
* symmetry: Pm-3m (221)

CIF file:
```
data_ScZn3Bi
_chemical_formula_sum 'Sc1 Zn3 Bi1'
_cell_length_a 5.157
_cell_length_b 5.157
_cell_length_c 5.157
_cell_angle_alpha 90.00
_cell_angle_beta 90.00
_cell_angle_gamma 90.00
_symmetry_space_group_name_H-M 'P 1'
_symmetry_Int_Tables_number 1
loop_
_symmetry_equiv_pos_as_xyz
'x,y,z'
loop_
_atom_site_label
_atom_site_type_symbol
_atom_site_fract_x
_atom_site_fract_y
_atom_site_fract_z
Zn1 Zn 0.000 0.000 0.500
Zn2 Zn 0.500 0.000 0.000
Zn3 Zn 0.000 0.500 0.000
Bi1 Bi 0.000 0.000 0.000
Sc1 Sc 0.500 0.500 0.500
```



## Zr2ScBi2 (SCAN)

Data for a crystal of Zr2ScBi2 relaxed with PBEsol.

Values from the calculation:
* energy of formation from the pure elements: -0.498 eV/atom
* symmetry: P4/mbm (127)

CIF file:
```
data_Zr2ScBi2
_chemical_formula_sum 'Zr4 Sc2 Bi4'
_cell_length_a 3.842
_cell_length_b 7.876
_cell_length_c 7.876
_cell_angle_alpha 90.00
_cell_angle_beta 90.00
_cell_angle_gamma 90.00
_symmetry_space_group_name_H-M 'P 1'
_symmetry_Int_Tables_number 1
loop_
_symmetry_equiv_pos_as_xyz
'x,y,z'
loop_
_atom_site_label
_atom_site_type_symbol
_atom_site_fract_x
_atom_site_fract_y
_atom_site_fract_z
Zr1 Zr 0.500 0.852 0.352
Zr2 Zr 0.500 0.148 0.648
Zr3 Zr 0.500 0.352 0.148
Zr4 Zr 0.500 0.648 0.852
Sc1 Sc 0.000 0.000 0.000
Sc2 Sc 0.000 0.500 0.500
Bi1 Bi 0.000 0.350 0.850
Bi2 Bi 0.000 0.650 0.150
Bi3 Bi 0.000 0.850 0.650
Bi4 Bi 0.000 0.150 0.350
```



## SiBiSe3 (SCAN)

Data for a crystal of SiBiSe3 relaxed with PBEsol.

Values from the calculation:
* final energy: -144.2 eV for the cell shown
* symmetry: Pm-3m (221)

CIF file:
```
data_SiBiSe3
_chemical_formula_sum 'Si1 Bi1 Se3'
_cell_length_a 5.360
_cell_length_b 5.360
_cell_length_c 5.360
_cell_angle_alpha 90.00
_cell_angle_beta 90.00
_cell_angle_gamma 90.00
_symmetry_space_group_name_H-M 'P 1'
_symmetry_Int_Tables_number 1
loop_
_symmetry_equiv_pos_as_xyz
'x,y,z'
loop_
_atom_site_label
_atom_site_type_symbol
_atom_site_fract_x
_atom_site_fract_y
_atom_site_fract_z
Se1 Se 0.500 0.000 0.000
Se2 Se 0.000 0.000 0.500
Se3 Se 0.000 0.500 0.000
Si1 Si 0.500 0.500 0.500
Bi1 Bi 0.000 0.000 0.000
```



## SrSi2BiSe (SCAN)

Data for a crystal of SrSi2BiSe relaxed with PBEsol.

Values from the calculation:
* final energy: -137.5 eV for the cell shown
* symmetry: P4/mmm (123)

CIF file:
```
data_SrSi2BiSe
_chemical_formula_sum 'Sr1 Si2 Bi1 Se1'
_cell_length_a 5.173
_cell_length_b 5.173
_cell_length_c 6.474
_cell_angle_alpha 90.00
_cell_angle_beta 90.00
_cell_angle_gamma 90.00
_symmetry_space_group_name_H-M 'P 1'
_symmetry_Int_Tables_number 1
loop_
_symmetry_equiv_pos_as_xyz
'x,y,z'
loop_
_atom_site_label
_atom_site_type_symbol
_atom_site_fract_x
_atom_site_fract_y
_atom_site_fract_z
Sr1 Sr 0.000 0.000 0.500
Se1 Se 0.500 0.500 0.500
Bi1 Bi 0.000 0.000 0.000
Si1 Si 0.000 0.500 0.000
Si2 Si 0.500 0.000 0.000
```



## SnBiSe3 (SCAN)

Data for a crystal of SnBiSe3 relaxed with PBEsol.

Values from the calculation:
* final energy: -173.0 eV for the cell shown
* symmetry: Pm-3m (221)

CIF file:
```
data_SnBiSe3
_chemical_formula_sum 'Sn1 Bi1 Se3'
_cell_length_a 5.383
_cell_length_b 5.383
_cell_length_c 5.383
_cell_angle_alpha 90.00
_cell_angle_beta 90.00
_cell_angle_gamma 90.00
_symmetry_space_group_name_H-M 'P 1'
_symmetry_Int_Tables_number 1
loop_
_symmetry_equiv_pos_as_xyz
'x,y,z'
loop_
_atom_site_label
_atom_site_type_symbol
_atom_site_fract_x
_atom_site_fract_y
_atom_site_fract_z
Se1 Se 0.500 0.000 0.000
Se2 Se 0.000 0.500 0.000
Se3 Se 0.000 0.000 0.500
Sn1 Sn 0.500 0.500 0.500
Bi1 Bi 0.000 0.000 0.000
```